[1]
{
  "formula": "RbCuBi2",
  "functional": "PBE-GGA",
  "state": "relaxed",
  "lattice": [[3.7151, 0.0000, 0.0000], [0.0000, 3.7151, 0.0000], [0.0000, 0.0000, 8.8543]],
  "species": ["Rb", "Cu", "Bi", "Bi"],
  "fractional_positions": [[0.0000, 0.0000, 0.0000], [0.0000, 0.0000, 0.5000], [0.5000, 0.5000, 0.3271], [0.5000, 0.5000, 0.6729]],
  "m_tot_mub_per_fu": 0.00,
  "dft_energy_ev_per_atom": -3.114
}

***

[2]
{
  "formula": "Ca2AcCeIn4",
  "functional": "PBE-GGA",
  "state": "relaxed",
  "lattice": [[2.7789, 1.6044, 9.1122], [-2.7789, 1.6044, 9.1122], [0.0000, -3.2088, 9.1122]],
  "species": ["Ca", "Ca", "Ac", "Ce", "In", "In", "In", "In"],
  "fractional_positions": [[0.2494, 0.2494, 0.2494], [0.7506, 0.7506, 0.7506], [0.0000, 0.0000, 0.0000], [0.5000, 0.5000, 0.5000], [0.1276, 0.1276, 0.1276], [0.3791, 0.3791, 0.3791], [0.6209, 0.6209, 0.6209], [0.8724, 0.8724, 0.8724]],
  "m_tot_mub_per_fu": 0.96,
  "dft_energy_ev_per_atom": -3.545
}